Entry 1:
Below is a geometry-optimized Li2Zn2Bi structure, with properties calculated at the PBE-GGA level.

Results
calculated formation energy	-0.080	eV per atom
DOS(E_F)	1.16	states/eV/f.u.
magnetization	0.000	μB per atom

abc: 7.561 7.561 3.360
angles: 90.00 90.00 90.00
Space group P4/mbm (No. 127)
Symmetry-distinct sites (fractional):
Li (0.149, 0.351, 0.000) x4
Zn (0.138, 0.638, 0.500) x4
Bi (0.000, 0.000, 0.000) x2

***

Entry 2:
Below is a geometry-optimized Sm6PdAu5 structure, with properties calculated at the PBE-GGA level.

Results
calculated formation energy	-0.792	eV per atom
DOS(E_F)	8.83	states/eV/f.u.
magnetization	0.000	μB per atom

abc: 5.178 7.312 8.186
angles: 90.00 108.43 90.00
Space group P2/m (No. 10)
Symmetry-distinct sites (fractional):
Sm (0.000, 0.247, 0.000) x2
Sm (0.336, 0.248, 0.671) x4
Pd (0.500, 0.000, 0.000) x1
Au (0.167, 0.000, 0.336) x2
Au (0.167, 0.500, 0.336) x2
Au (0.500, 0.500, 0.000) x1